Computed, not measured: a relaxed Tb2TmBi crystal at the PBE level of DFT.

Results
The calculation puts the energy of formation from the pure elements at -3.5 kcal/mol of atoms.

Structure (CIF):
```
data_Tb2TmBi
_cell_length_a 4.0362
_cell_length_b 4.0362
_cell_length_c 28.4138
_cell_angle_alpha 90.00
_cell_angle_beta 90.00
_cell_angle_gamma 120.00
_space_group_name_H-M_alt 'R 3 m'
_space_group_IT_number 160
_space_group_name_Hall 'R 3 -2"'
loop_
_atom_site_label
_atom_site_type_symbol
_atom_site_fract_x
_atom_site_fract_y
_atom_site_fract_z
Tb1 Tb 0.0000 0.0000 0.0000
Tb2 Tb 0.0000 0.0000 0.1908
Tm1 Tm 0.0000 0.0000 0.4289
Bi1 Bi 0.0000 0.0000 0.5950
```